Entry 1:
VASP calculation (PBE-GGA) on an optimized crystal structure of Sr3LaNb.

Cell and atoms, written as POSCAR:
```
Sr3LaNb
1.0
5.934 0.000 0.000
0.000 5.934 0.000
0.000 0.000 5.934
Sr La Nb
3 1 1
direct
0.000 0.000 0.500
0.000 0.500 0.000
0.500 0.000 0.000
0.000 0.000 0.000
0.500 0.500 0.500
```

Results
Space group: Pm-3m, No. 221
Energy relative to the lowest polymorph listed for this composition in meV/atom: 791
DFT formation energy in kcal/mol of atoms: 39.3

=====

Entry 2:
VASP calculation (PBE-GGA) on an optimized crystal structure of CaZnRu3.

Cell and atoms, written as POSCAR:
```
CaZnRu3
1.0
4.726 0.000 0.000
0.000 4.726 0.000
0.000 0.000 4.726
Ca Zn Ru
1 1 3
direct
0.000 0.000 0.000
0.500 0.500 0.500
0.000 0.000 0.500
0.000 0.500 0.000
0.500 0.000 0.000
```

Results
Space group: Pm-3m, No. 221
Energy relative to the lowest polymorph listed for this composition in meV/atom: 1097
DFT formation energy in kcal/mol of atoms: 50.5